[1]
Here is a relaxed Ce2Al2Ni15 crystal from Alexandria. Energies are from PBE-GGA.

a b c (Å): 6.3239 6.3239 6.3239
angles (deg): 81.99 81.99 81.99
Sites, in units of the cell vectors:
Ce1 0.6494 0.6494 0.6494
Ni1 0.0000 0.7035 0.2965
Ce2 0.3506 0.3506 0.3506
Ni2 0.3455 0.3455 0.8488
Ni3 0.7035 0.0000 0.2965
Ni4 0.1512 0.6545 0.6545
Ni5 0.0000 0.5000 0.0000
Ni6 0.0000 0.2965 0.7035
Ni7 0.2965 0.0000 0.7035
Ni8 0.7035 0.2965 0.0000
Ni9 0.0000 0.0000 0.5000
Ni10 0.5000 0.0000 0.0000
Ni11 0.3455 0.8488 0.3455
Ni12 0.6545 0.1512 0.6545
Ni13 0.8488 0.3455 0.3455
Al1 0.8972 0.8972 0.8972
Al2 0.1028 0.1028 0.1028
Ni14 0.2965 0.7035 0.0000
Ni15 0.6545 0.6545 0.1512

Properties
- E_form: -0.31 eV/atom
- Total DFT energy (no corrections): -0.4334 Ry per atom
- Symmetry: R-3m, No. 166
- Crystal system: trigonal

[2]
Here is a relaxed CeAl2Ni7 crystal from Alexandria. Energies are from PBE-GGA.

a b c (Å): 3.5902 5.6537 7.9030
angles (deg): 110.96 90.00 90.00
Sites, in units of the cell vectors:
Ni1 0.5000 0.6681 0.7591
Ni2 0.0000 0.3897 0.7794
Ni3 0.0000 0.6103 0.2206
Al1 0.5000 0.7393 0.4786
Ni4 0.5000 0.5000 0.0000
Ce1 0.0000 0.0000 0.0000
Ni5 0.5000 0.3319 0.2409
Ni6 0.5000 0.0909 0.7591
Al2 0.5000 0.2607 0.5214
Ni7 0.5000 0.9091 0.2409

Properties
- E_form: -0.09 eV/atom
- Total DFT energy (no corrections): -0.4027 Ry per atom
- Symmetry: Cmmm, No. 65
- Crystal system: orthorhombic

[3]
Here is a relaxed Ce4Al16Ni3 crystal from Alexandria. Energies are from PBE-GGA.

a b c (Å): 6.1196 6.1196 11.2357
angles (deg): 90.00 90.00 90.00
Site moments in Bohr magnetons follow the coordinates.
Sites, in units of the cell vectors:
Al1 0.2534 0.7466 0.3824  0.00
Al2 0.5000 0.5000 0.1987  0.00
Al3 0.7466 0.7466 0.3824  0.00
Ce1 0.0000 0.5000 0.8086  0.28
Al4 0.7212 0.7212 0.0000  0.00
Al5 0.2534 0.7466 0.6176  0.00
Al6 0.5000 0.5000 0.8013  0.00
Ni1 0.0000 0.0000 0.0000  0.03
Al7 0.2534 0.2534 0.6176  0.00
Al8 0.2788 0.2788 0.0000  0.00
Ce2 0.5000 0.0000 0.1914  0.28
Al9 0.7212 0.2788 0.0000  0.00
Ni2 0.5000 0.0000 0.5000  0.00
Al10 0.0000 0.0000 0.7790  0.00
Al11 0.7466 0.7466 0.6176  0.00
Ce3 0.0000 0.5000 0.1914  0.28
Al12 0.2534 0.2534 0.3824  0.00
Ni3 0.0000 0.5000 0.5000  0.00
Al13 0.0000 0.0000 0.2210  0.00
Al14 0.7466 0.2534 0.3824  0.00
Al15 0.2788 0.7212 0.0000  0.00
Al16 0.7466 0.2534 0.6176  0.00
Ce4 0.5000 0.0000 0.8086  0.28

Properties
- E_form: -0.46 eV/atom
- Total DFT energy (no corrections): -0.3562 Ry per atom
- Symmetry: P4/mmm, No. 123
- Crystal system: tetragonal

[4]
Here is a relaxed CeAl2Ni5 crystal from Alexandria. Energies are from PBE-GGA.

a b c (Å): 3.6511 6.0998 6.0998
angles (deg): 65.06 72.59 72.59
Site moments in Bohr magnetons follow the coordinates.
Sites, in units of the cell vectors:
Ni1 0.6325 0.1766 0.5583  0.01
Al1 0.2408 0.2592 0.2592  0.00
Ni2 0.3675 0.4417 0.8234  0.01
Ce1 0.0000 0.0000 0.0000  -0.29
Ni3 0.3675 0.8234 0.4417  0.01
Ni4 0.0000 0.5000 0.5000  0.00
Ni5 0.6325 0.5583 0.1766  0.01
Al2 0.7592 0.7408 0.7408  0.00

Properties
- E_form: -0.36 eV/atom
- Total DFT energy (no corrections): -0.4156 Ry per atom
- Symmetry: Immm, No. 71
- Crystal system: orthorhombic

[5]
Here is a relaxed CeAl4Ni2 crystal from Alexandria. Energies are from PBE-GGA.

a b c (Å): 4.0579 6.8430 16.8138
angles (deg): 90.00 90.00 90.00
Site moments in Bohr magnetons follow the coordinates.
Sites, in units of the cell vectors:
Al1 0.2500 0.5074 0.4032  0.00
Al2 0.2500 0.6571 0.6900  0.00
Ni1 0.2500 0.8396 0.0372  -0.01
Ce1 0.2500 0.0202 0.3801  0.36
Al3 0.7500 0.0074 0.0968  0.00
Al4 0.2500 0.2287 0.2016  0.00
Ni2 0.2500 0.6604 0.5372  -0.01
Ce2 0.2500 0.4798 0.8801  0.36
Ce3 0.7500 0.9798 0.6199  0.36
Ni3 0.7500 0.1604 0.9628  -0.01
Al5 0.7500 0.7304 0.4634  0.00
Ni4 0.7500 0.0410 0.2367  -0.01
Ni5 0.7500 0.4590 0.7367  -0.01
Al6 0.2500 0.9926 0.9032  0.00
Al7 0.7500 0.3429 0.3100  0.00
Ce4 0.7500 0.5202 0.1199  0.36
Al8 0.7500 0.1571 0.8100  0.00
Al9 0.2500 0.2304 0.0366  0.00
Al10 0.7500 0.7713 0.7984  0.00
Ni6 0.2500 0.5410 0.2633  -0.01
Al11 0.7500 0.7287 0.2984  0.00
Al12 0.7500 0.4926 0.5968  0.00
Ni7 0.2500 0.9590 0.7633  -0.01
Al13 0.7500 0.7696 0.9634  0.00
Ni8 0.7500 0.3396 0.4628  -0.01
Al14 0.2500 0.2696 0.5366  0.00
Al15 0.2500 0.8429 0.1900  0.00
Al16 0.2500 0.2713 0.7016  0.00

Properties
- E_form: -0.57 eV/atom
- Total DFT energy (no corrections): -0.3828 Ry per atom
- Symmetry: Pnma, No. 62
- Crystal system: orthorhombic
- E above lowest polymorph: 0 kJ/mol of formula units

[6]
Here is a relaxed Ce2AlNi16 crystal from Alexandria. Energies are from PBE-GGA.

a b c (Å): 6.2889 6.2889 6.2889
angles (deg): 82.49 82.49 82.49
Site moments in Bohr magnetons follow the coordinates.
Sites, in units of the cell vectors:
Ni1 0.3442 0.8451 0.3442  0.24
Ni2 0.7007 0.0001 0.2992  0.22
Al1 0.9115 0.9115 0.9115  -0.01
Ni3 0.1536 0.6554 0.6554  0.24
Ni4 0.3442 0.3442 0.8451  0.24
Ni5 0.1024 0.1024 0.1024  0.12
Ni6 0.2992 0.0001 0.7007  0.22
Ni7 0.6554 0.6554 0.1536  0.24
Ni8 0.5028 0.9970 0.9970  0.26
Ce1 0.3379 0.3379 0.3379  -0.23
Ni9 0.6554 0.1536 0.6554  0.24
Ni10 0.9970 0.9970 0.5028  0.26
Ni11 0.8451 0.3442 0.3442  0.24
Ni12 0.2992 0.7007 0.0001  0.22
Ni13 0.9970 0.5028 0.9970  0.26
Ni14 0.0001 0.7007 0.2992  0.22
Ce2 0.6534 0.6534 0.6534  -0.23
Ni15 0.0001 0.2992 0.7007  0.22
Ni16 0.7007 0.2992 0.0001  0.22

Properties
- E_form: -0.28 eV/atom
- Total DFT energy (no corrections): -0.4385 Ry per atom
- Symmetry: R3m, No. 160
- Crystal system: trigonal